First-principles (GGA+U) data for a relaxed structure of CoReOsSeO, as listed in the Alexandria database.

Cell and atoms, written as POSCAR:
```
CoReOsSeO
1.0
3.878 0.000 0.118
0.000 2.780 0.000
-0.104 0.000 7.125
Re O Co Se Os
1 1 1 1 1
Cartesian
0.775 1.390 0.848
0.726 0.000 2.363
2.649 0.000 2.524
3.123 1.390 4.813
2.676 0.000 6.824
```

Computed properties:
Excess energy over the best structure of this formula in the dataset (kJ/mol of atoms): 11.6
SG: No. 6
Final energy (eV per atom): -7.45
V (A^3/atom): 15.37